Record 1
# Sc5Pb

Crystalline Sc5Pb at its relaxed geometry (PBEsol, the Alexandria database).

POSCAR file:
```
Sc5Pb
1.0
-1.150 -2.668 -1.634
4.690 -1.218 -1.313
1.327 -3.229 7.739
Sc Pb
5 1
Cartesian
2.184 -4.452 2.333
3.024 -4.727 5.591
0.494 -2.995 4.543
-0.326 -2.842 1.471
2.516 -1.643 0.913
0.001 -0.005 0.007
```

Summary:
Its formation energy is -0.17 eV per atom. Its space group is No. 38. Its total moment is 0.0 μB/f.u.


Record 2
# Na8Si7O18

Crystalline Na8Si7O18 at its relaxed geometry (PBEsol, the Alexandria database).

POSCAR file:
```
Na8Si7O18
1.0
-1.464 7.001 0.823
-2.388 0.650 -6.761
-6.817 -1.297 1.916
Si Na O
7 8 18
Cartesian
0.000 0.000 0.000
-6.656 4.325 0.229
-4.014 2.029 -4.251
-3.582 4.996 -0.708
-7.088 1.358 -3.314
-6.083 1.120 -0.197
-4.587 5.234 -3.824
-4.141 2.852 1.370
-1.194 0.325 -3.380
-4.603 -0.323 -2.422
-1.926 3.825 -2.969
-8.158 4.858 -3.075
-0.732 3.500 0.411
-2.512 1.496 -0.947
-3.409 -0.648 0.958
-5.089 4.865 0.005
-2.899 6.326 -0.061
-4.158 3.694 -4.317
-3.754 6.255 -4.782
-3.592 1.559 -5.752
-7.926 2.692 -3.442
-7.620 4.793 -0.933
-6.758 0.971 -1.720
-6.513 2.660 0.296
-3.912 5.383 -2.301
-6.916 0.098 0.760
-7.078 4.795 1.731
-4.515 0.916 -0.217
-6.155 5.438 -3.804
-2.744 3.662 -0.579
-5.581 1.489 -4.027
-7.772 0.028 -3.961
-3.050 1.560 -3.089
```

Summary:
The value obtained for the total energy is -6.889 eV/atom. Its space group is No. 166. Its total moment is 0.0 μB/f.u.


Record 3
# SbAs2W

Crystalline SbAs2W at its relaxed geometry (PBEsol, the Alexandria database).

POSCAR file:
```
SbAs2W
1.0
-2.813 0.237 1.411
-0.215 -0.236 3.140
0.103 8.811 2.255
Sb W As
1 1 2
Cartesian
-1.494 4.163 3.383
-0.752 2.038 1.688
-2.178 6.736 5.115
-2.993 0.281 4.574
```

Summary:
The value obtained for the total energy is -6.838 eV/atom. Its space group is No. 160. Its total moment is 0.0 μB/f.u.


Record 4
# EuFeO3

Crystalline EuFeO3 at its relaxed geometry (PBEsol, the Alexandria database).

POSCAR file:
```
EuFeO3
1.0
5.298 0.000 0.000
2.649 4.606 -0.013
2.649 1.487 4.359
Eu O Fe
2 6 2
Cartesian
5.298 4.557 3.277
5.298 1.536 1.068
3.973 2.460 3.403
7.947 4.755 3.000
6.622 2.460 3.403
3.973 3.634 0.942
6.622 3.634 0.942
2.649 1.339 1.345
2.649 3.047 2.173
2.649 0.000 0.000
```

Summary:
The value obtained for the total energy is -9.241 eV/atom. Its space group is No. 74. Its total moment is 9.6 μB/f.u.